# 1
This record from Alexandria via LeMat-Bulk describes a relaxed Er4TmSb2 crystal. The functional is PBE.

Cell and atoms, written as CIF:
```
data_Er4TmSb2
_chemical_formula_sum 'Er8 Tm2 Sb4'
_space_group_name_H-M_alt 'I 4/m m m'
_space_group_IT_number 139
_space_group_name_Hall '-I 4 2'
_cell_length_a 5.207
_cell_length_b 5.207
_cell_length_c 16.263
_cell_angle_alpha 90.00
_cell_angle_beta 90.00
_cell_angle_gamma 90.00
loop_
_atom_site_label
_atom_site_type_symbol
_atom_site_fract_x
_atom_site_fract_y
_atom_site_fract_z
Er1 Er 0.000 0.000 0.183
Er2 Er 0.000 0.500 0.000
Tm1 Tm 0.000 0.000 0.000
Sb1 Sb 0.000 0.000 0.367
```

Results
- Formation energy from raw total energies: 0.2791 eV/atom
- Fermi-level density of states: 9.360 states/eV per cell



# 2
This record from Alexandria via LeMat-Bulk describes a relaxed La8SnSe3I4 crystal. The functional is PBE.

Cell and atoms, written as CIF:
```
data_La8SnSe3I4
_chemical_formula_sum 'La24 Sn3 Se9 I12'
_space_group_name_H-M_alt 'R -3 m'
_space_group_IT_number 166
_space_group_name_Hall '-R 3 2"'
_cell_length_a 8.8369
_cell_length_b 8.8369
_cell_length_c 23.3358
_cell_angle_alpha 90.00
_cell_angle_beta 90.00
_cell_angle_gamma 120.00
loop_
_atom_site_label
_atom_site_type_symbol
_atom_site_fract_x
_atom_site_fract_y
_atom_site_fract_z
La1 La 0.0000 0.0000 0.2336
La2 La 0.0162 0.5081 0.7637
Sn1 Sn 0.0000 0.0000 0.5000
Se1 Se 0.0000 0.5000 0.5000
I1 I 0.0000 0.0000 0.0000
I2 I 0.0000 0.5000 0.0000
```

Results
- Formation energy from raw total energies: -1.3783 eV/atom
- Fermi-level density of states: 31.338 states/eV per cell



We obtain energy values of -4.145, -5.133 eV per atom for the records listed above, in that order.